# KBaTl4Ir2

A relaxed structure of KBaTl4Ir2 (GGA-PBE, the Open Quantum Materials Database).

Lattice parameters (Å, degrees): 8.412 6.389 6.389 40.16 90.00 90.00
Element x y z (fractional)
1 K 0.000 0.000 0.000
2 Ba 0.500 0.114 0.114
3 Tl 0.194 0.712 0.712
4 Tl 0.296 0.402 0.402
5 Tl 0.704 0.402 0.402
6 Tl 0.806 0.712 0.712
7 Ir 0.000 0.275 0.275
8 Ir 0.500 0.833 0.833

Values from the calculation:
Its total energy is -30.1 eV per cell. The value obtained for the total magnetization is 0.002 μB/atom.



# LiPd3

A relaxed structure of LiPd3 (GGA-PBE, the Open Quantum Materials Database).

Lattice parameters (Å, degrees): 3.890 3.890 3.862 90.00 90.00 90.00
Element x y z (fractional)
1 Li 0.000 0.000 0.000
2 Pd 0.000 0.500 0.500
3 Pd 0.500 0.000 0.500
4 Pd 0.500 0.500 0.000

Values from the calculation:
Its total energy is -18.5 eV per cell.



# TbSc2Al3CuGe2

A relaxed structure of TbSc2Al3CuGe2 (GGA-PBE, the Open Quantum Materials Database).

Lattice parameters (Å, degrees): 4.056 6.862 6.862 120.63 90.00 90.00
Element x y z (fractional)
1 Tb 0.000 0.000 0.000
2 Sc 0.000 0.192 0.596
3 Sc 0.000 0.596 0.192
4 Al 0.500 0.357 0.357
5 Al 0.500 0.591 0.827
6 Al 0.500 0.827 0.591
7 Cu 0.000 0.580 0.580
8 Ge 0.500 0.268 0.924
9 Ge 0.500 0.924 0.268

Values from the calculation:
Its total energy is -47.2 eV per cell. The value obtained for the total magnetization is 0.001 μB/atom.



# LiNiSnHg

A relaxed structure of LiNiSnHg (GGA-PBE, the Open Quantum Materials Database).

Lattice parameters (Å, degrees): 4.555 4.555 4.555 60.00 60.00 60.00
Element x y z (fractional)
1 Li 0.000 0.000 0.000
2 Ni 0.500 0.500 0.500
3 Sn 0.250 0.250 0.250
4 Hg 0.750 0.750 0.750

Values from the calculation:
For the excess energy over the best structure of this formula in the dataset, the calculation gives 0.000 eV per atom. The value obtained for the total magnetization is 0.001 μB/atom.



# LaAgSeO

A relaxed structure of LaAgSeO (GGA-PBE, the Open Quantum Materials Database).

Lattice parameters (Å, degrees): 4.875 4.924 6.844 90.00 90.00 90.00
Element x y z (fractional)
1 La 0.000 0.239 0.000
2 La 0.000 0.761 0.500
3 Ag 0.500 0.353 0.642
4 Ag 0.500 0.647 0.142
5 Se 0.500 0.146 0.292
6 Se 0.500 0.854 0.792
7 O 0.000 0.376 0.687
8 O 0.000 0.624 0.187

Values from the calculation:
Its total energy is -45.9 eV per cell. The value obtained for the total magnetization is 0.000 μB/atom.



# ZrZnFeTc

A relaxed structure of ZrZnFeTc (GGA-PBE, the Open Quantum Materials Database).

Lattice parameters (Å, degrees): 4.443 4.443 4.443 60.00 60.00 60.00
Element x y z (fractional)
1 Zr 0.000 0.000 0.000
2 Zn 0.500 0.500 0.500
3 Fe 0.750 0.750 0.750
4 Tc 0.250 0.250 0.250

Values from the calculation:
For the excess energy over the best structure of this formula in the dataset, the calculation gives 0.000 eV per atom. The value obtained for the total magnetization is 0.647 μB/atom.



# NaTbPa

A relaxed structure of NaTbPa (GGA-PBE, the Open Quantum Materials Database).

Lattice parameters (Å, degrees): 5.190 5.190 5.190 60.00 60.00 60.00
Element x y z (fractional)
1 Na 0.000 0.000 0.000
2 Tb 0.250 0.250 0.250
3 Pa 0.750 0.750 0.750

Values from the calculation:
For the excess energy over the best structure of this formula in the dataset, the calculation gives 0.000 eV per atom. The value obtained for the total magnetization is 1.080 μB/atom.



# TaCdO3

A relaxed structure of TaCdO3 (GGA-PBE, the Open Quantum Materials Database).

Lattice parameters (Å, degrees): 5.507 5.507 5.507 61.86 61.86 61.86
Element x y z (fractional)
1 Ta 0.000 0.000 0.000
2 Ta 0.500 0.500 0.500
3 Cd 0.250 0.250 0.250
4 Cd 0.750 0.750 0.750
5 O 0.173 0.750 0.327
6 O 0.250 0.673 0.827
7 O 0.327 0.173 0.750
8 O 0.673 0.827 0.250
9 O 0.750 0.327 0.173
10 O 0.827 0.250 0.673

Values from the calculation:
Its total energy is -75.1 eV per cell. The value obtained for the total magnetization is 0.000 μB/atom.



Calculated density (Mg/m³), listed in the same order as above: 10.34; 9.27; 5.44; 9.57; 6.91; 8.31; 6.94; 9.22